#i
This record from the Alexandria database describes a relaxed Tc2HgP2 crystal. The functional is GGA-PBE.

## Properties
D(E_F) = 0.02 states/eV/atom
Size of the total moment = 0.00 μB/f.u.

Cell: 3.579 3.579 12.327 Å, 90.00 90.00 90.00°
Space group I4/mmm (No. 139)
Symmetry-distinct sites (fractional):
Tc  0.000  0.000  0.125 x4
Hg  0.000  0.000  0.500 x2
P  0.000  0.500  0.250 x4

=====

#ii
This record from the Alexandria database describes a relaxed Tc2HgP2 crystal. The functional is GGA-PBE.

## Properties
D(E_F) = 0.64 states/eV/atom
Size of the total moment = 0.00 μB/f.u.

Cell: 7.121 7.121 3.006 Å, 90.00 90.00 90.00°
Space group P4/mbm (No. 127)
Symmetry-distinct sites (fractional):
Tc  0.144  0.356  0.000 x4
Hg  0.000  0.000  0.000 x2
P  0.136  0.636  0.500 x4

=====

#i takes first place; second place is 0.095 eV/atom up.

=====

#i
This record from the Alexandria database describes a relaxed Tc3HgP crystal. The functional is GGA-PBE.

## Properties
D(E_F) = 1.21 states/eV/atom
Size of the total moment = 1.22 μB/f.u.

Cell: 4.416 4.416 4.416 Å, 90.00 90.00 90.00°
Space group Pm-3m (No. 221)
Symmetry-distinct sites (fractional):
Tc  0.000  0.000  0.500 x3
Hg  0.500  0.500  0.500 x1
P  0.000  0.000  0.000 x1

=====

#ii
This record from the Alexandria database describes a relaxed Tc3HgP crystal. The functional is GGA-PBE.

## Properties
D(E_F) = 2.02 states/eV/atom
Size of the total moment = 10.58 μB/f.u.

Cell: 5.104 5.104 5.104 Å, 90.00 90.00 90.00°
Space group Pm-3m (No. 221)
Symmetry-distinct sites (fractional):
Tc  0.000  0.000  0.500 x3
Hg  0.000  0.000  0.000 x1
P  0.500  0.500  0.500 x1

=====

#i takes first place; second place is 2.173 eV/atom up.